Below is an optimized crystal structure of YTiS2Cl, with properties calculated at the PBE level.

Unit cell a=4.771 b=4.771 c=4.558 alpha=90.00 beta=90.00 gamma=90.00
Positions (direct):
Y (0.000, 0.000, 0.000)
Ti (0.500, 0.500, 0.500)
S (0.000, 0.500, 0.500)
S (0.500, 0.000, 0.500)
Cl (0.500, 0.500, 0.000)

Results
For the formation energy without anion corrections, the calculation gives -5.81 eV per formula unit. As for the excess energy over the best structure of this formula in the dataset: 0 meV/atom. The value obtained for the total moment is 0.000 μB/atom. Its total energy is -30.3 eV per cell.